[1]
The following is a DFT calculation (GGA-PBE) of a geometry-optimized Mn2CrBr structure.

## Properties
Raw formation energy in eV/f.u.: 4.6
E_tot in eV per atom: -6.2713
Total magnetization in μB per formula unit: 0.002
DOS(E_F) in states/eV/atom: 0.867
Energy above the lowest structure with this stoichiometry in kJ per mole of atoms: 79.93

```
data_Mn2CrBr
_cell_length_a 5.155
_cell_length_b 5.155
_cell_length_c 10.490
_cell_angle_alpha 90.00
_cell_angle_beta 90.00
_cell_angle_gamma 90.00
_space_group_name_H-M_alt 'I -4 2 d'
_space_group_IT_number 122
_space_group_name_Hall 'I -4 2bw'
loop_
_atom_site_label
_atom_site_fract_x
_atom_site_fract_y
_atom_site_fract_z
_atom_site_occupancy
Mn1 0.218 0.250 0.125 1
Cr1 0.000 0.000 0.000 1
Br1 0.000 0.000 0.500 1
```

***

[2]
The following is a DFT calculation (GGA-PBE) of a geometry-optimized MnCr2Br structure.

## Properties
Raw formation energy in eV/f.u.: 2.8
E_tot in eV per atom: -6.8098
Total magnetization in μB per formula unit: 2.057
DOS(E_F) in states/eV/atom: 0.650
Energy above the lowest structure with this stoichiometry in kJ per mole of atoms: 39.10

```
data_MnCr2Br
_cell_length_a 5.660
_cell_length_b 7.077
_cell_length_c 2.997
_cell_angle_alpha 90.00
_cell_angle_beta 90.00
_cell_angle_gamma 90.00
_space_group_name_H-M_alt 'C m m m'
_space_group_IT_number 65
_space_group_name_Hall '-C 2 2'
loop_
_atom_site_label
_atom_site_fract_x
_atom_site_fract_y
_atom_site_fract_z
_atom_site_occupancy
Mn1 0.000 0.000 0.000 1
Cr1 0.250 0.250 0.500 1
Br1 0.000 0.500 0.000 1
```

***

[3]
The following is a DFT calculation (GGA-PBE) of a geometry-optimized MnCr2Br structure.

## Properties
Raw formation energy in eV/f.u.: 2.9
E_tot in eV per atom: -6.7871
Total magnetization in μB per formula unit: 0.082
DOS(E_F) in states/eV/atom: 0.722
Energy above the lowest structure with this stoichiometry in kJ per mole of atoms: 41.30

```
data_MnCr2Br
_cell_length_a 4.318
_cell_length_b 4.318
_cell_length_c 2.963
_cell_angle_alpha 90.00
_cell_angle_beta 90.00
_cell_angle_gamma 90.00
_space_group_name_H-M_alt 'P 4/m m m'
_space_group_IT_number 123
_space_group_name_Hall '-P 4 2'
loop_
_atom_site_label
_atom_site_fract_x
_atom_site_fract_y
_atom_site_fract_z
_atom_site_occupancy
Mn1 0.000 0.000 0.000 1
Cr1 0.000 0.500 0.500 1
Br1 0.500 0.500 0.000 1
```

***

[4]
The following is a DFT calculation (GGA-PBE) of a geometry-optimized Mn2CrBr structure.

## Properties
Raw formation energy in eV/f.u.: 3.6
E_tot in eV per atom: -6.5187
Total magnetization in μB per formula unit: 1.891
DOS(E_F) in states/eV/atom: 1.176
Energy above the lowest structure with this stoichiometry in kJ per mole of atoms: 56.06

```
data_Mn2CrBr
_cell_length_a 5.971
_cell_length_b 5.971
_cell_length_c 5.971
_cell_angle_alpha 90.00
_cell_angle_beta 90.00
_cell_angle_gamma 90.00
_space_group_name_H-M_alt 'F -4 3 m'
_space_group_IT_number 216
_space_group_name_Hall 'F -4 2 3'
loop_
_atom_site_label
_atom_site_fract_x
_atom_site_fract_y
_atom_site_fract_z
_atom_site_occupancy
Mn1 0.000 0.000 0.000 1
Mn2 0.250 0.250 0.250 1
Cr1 0.250 0.250 0.750 1
Br1 0.000 0.000 0.500 1
```

***

[5]
The following is a DFT calculation (GGA-PBE) of a geometry-optimized MnCrBr2 structure.

## Properties
Raw formation energy in eV/f.u.: 0.6
E_tot in eV per atom: -5.3956
Total magnetization in μB per formula unit: 6.991
DOS(E_F) in states/eV/atom: 0.760
Energy above the lowest structure with this stoichiometry in kJ per mole of atoms: 10.64

```
data_MnCrBr2
_cell_length_a 3.298
_cell_length_b 3.298
_cell_length_c 8.150
_cell_angle_alpha 90.00
_cell_angle_beta 90.00
_cell_angle_gamma 90.00
_space_group_name_H-M_alt 'P 4 m m'
_space_group_IT_number 99
_space_group_name_Hall 'P 4 -2'
loop_
_atom_site_label
_atom_site_fract_x
_atom_site_fract_y
_atom_site_fract_z
_atom_site_occupancy
Mn1 0.000 0.000 0.000 1
Cr1 0.500 0.500 0.791 1
Br1 0.000 0.000 0.629 1
Br2 0.500 0.500 0.180 1
```

***

[6]
The following is a DFT calculation (GGA-PBE) of a geometry-optimized Mn2CrBr structure.

## Properties
Raw formation energy in eV/f.u.: 1.6
E_tot in eV per atom: -7.0086
Total magnetization in μB per formula unit: 4.769
DOS(E_F) in states/eV/atom: 0.444
Energy above the lowest structure with this stoichiometry in kJ per mole of atoms: 8.79

```
data_Mn2CrBr
_cell_length_a 3.2514
_cell_length_b 3.2514
_cell_length_c 22.9183
_cell_angle_alpha 90.00
_cell_angle_beta 90.00
_cell_angle_gamma 120.00
_space_group_name_H-M_alt 'R 3 m'
_space_group_IT_number 160
_space_group_name_Hall 'R 3 -2"'
loop_
_atom_site_label
_atom_site_fract_x
_atom_site_fract_y
_atom_site_fract_z
_atom_site_occupancy
Mn1 0.0000 0.0000 0.0000 1
Mn2 0.0000 0.0000 0.2557 1
Cr1 0.0000 0.0000 0.7369 1
Br1 0.0000 0.0000 0.5003 1
```

***

[7]
The following is a DFT calculation (GGA-PBE) of a geometry-optimized MnCr2Br structure.

## Properties
Raw formation energy in eV/f.u.: 1.7
E_tot in eV per atom: -7.1051
Total magnetization in μB per formula unit: 4.138
DOS(E_F) in states/eV/atom: 0.810
Energy above the lowest structure with this stoichiometry in kJ per mole of atoms: 10.61

```
data_MnCr2Br
_cell_length_a 3.110
_cell_length_b 3.110
_cell_length_c 6.917
_cell_angle_alpha 90.00
_cell_angle_beta 90.00
_cell_angle_gamma 90.00
_space_group_name_H-M_alt 'P 4 m m'
_space_group_IT_number 99
_space_group_name_Hall 'P 4 -2'
loop_
_atom_site_label
_atom_site_fract_x
_atom_site_fract_y
_atom_site_fract_z
_atom_site_occupancy
Mn1 0.000 0.000 0.000 1
Cr1 0.000 0.000 0.599 1
Cr2 0.500 0.500 0.788 1
Br1 0.500 0.500 0.263 1
```

***

[8]
The following is a DFT calculation (GGA-PBE) of a geometry-optimized MnCrBr2 structure.

## Properties
Raw formation energy in eV/f.u.: 1.1
E_tot in eV per atom: -5.2653
Total magnetization in μB per formula unit: 9.164
DOS(E_F) in states/eV/atom: 0.597
Energy above the lowest structure with this stoichiometry in kJ per mole of atoms: 23.21

```
data_MnCrBr2
_cell_length_a 7.299
_cell_length_b 8.011
_cell_length_c 3.608
_cell_angle_alpha 90.00
_cell_angle_beta 110.22
_cell_angle_gamma 90.00
_space_group_name_H-M_alt 'C 1 2/m 1'
_space_group_IT_number 12
_space_group_name_Hall '-C 2y'
loop_
_atom_site_label
_atom_site_fract_x
_atom_site_fract_y
_atom_site_fract_z
_atom_site_occupancy
Mn1 0.000 0.000 0.000 1
Cr1 0.000 0.500 0.000 1
Br1 0.250 0.250 0.000 1
```

***

[9]
The following is a DFT calculation (GGA-PBE) of a geometry-optimized Mn2CrBr structure.

## Properties
Raw formation energy in eV/f.u.: 2.4
E_tot in eV per atom: -6.8117
Total magnetization in μB per formula unit: 4.491
DOS(E_F) in states/eV/atom: 0.862
Energy above the lowest structure with this stoichiometry in kJ per mole of atoms: 27.79

```
data_Mn2CrBr
_cell_length_a 5.354
_cell_length_b 7.938
_cell_length_c 3.171
_cell_angle_alpha 90.00
_cell_angle_beta 90.00
_cell_angle_gamma 90.00
_space_group_name_H-M_alt 'C m m m'
_space_group_IT_number 65
_space_group_name_Hall '-C 2 2'
loop_
_atom_site_label
_atom_site_fract_x
_atom_site_fract_y
_atom_site_fract_z
_atom_site_occupancy
Mn1 0.250 0.250 0.000 1
Cr1 0.000 0.000 0.500 1
Br1 0.000 0.500 0.500 1
```

***

[10]
The following is a DFT calculation (GGA-PBE) of a geometry-optimized MnCr2Br structure.

## Properties
Raw formation energy in eV/f.u.: 2.1
E_tot in eV per atom: -6.9954
Total magnetization in μB per formula unit: 3.469
DOS(E_F) in states/eV/atom: 0.640
Energy above the lowest structure with this stoichiometry in kJ per mole of atoms: 21.19

```
data_MnCr2Br
_cell_length_a 3.166
_cell_length_b 3.361
_cell_length_c 12.913
_cell_angle_alpha 90.00
_cell_angle_beta 90.00
_cell_angle_gamma 90.00
_space_group_name_H-M_alt 'I m m 2'
_space_group_IT_number 44
_space_group_name_Hall 'I 2 -2'
loop_
_atom_site_label
_atom_site_fract_x
_atom_site_fract_y
_atom_site_fract_z
_atom_site_occupancy
Mn1 0.000 0.000 0.000 1
Cr1 0.000 0.000 0.431 1
Cr2 0.000 0.500 0.129 1
Br1 0.000 0.500 0.764 1
```

***

[11]
The following is a DFT calculation (GGA-PBE) of a geometry-optimized Mn2CrBr structure.

## Properties
Raw formation energy in eV/f.u.: 2.6
E_tot in eV per atom: -6.7647
Total magnetization in μB per formula unit: 3.362
DOS(E_F) in states/eV/atom: 0.765
Energy above the lowest structure with this stoichiometry in kJ per mole of atoms: 32.32

```
data_Mn2CrBr
_cell_length_a 3.237
_cell_length_b 4.446
_cell_length_c 4.485
_cell_angle_alpha 90.00
_cell_angle_beta 90.00
_cell_angle_gamma 90.00
_space_group_name_H-M_alt 'P m m m'
_space_group_IT_number 47
_space_group_name_Hall '-P 2 2'
loop_
_atom_site_label
_atom_site_fract_x
_atom_site_fract_y
_atom_site_fract_z
_atom_site_occupancy
Mn1 0.000 0.000 0.000 1
Mn2 0.500 0.000 0.500 1
Cr1 0.000 0.500 0.500 1
Br1 0.500 0.500 0.000 1
```

***

[12]
The following is a DFT calculation (GGA-PBE) of a geometry-optimized Mn2CrBr structure.

## Properties
Raw formation energy in eV/f.u.: 2.1
E_tot in eV per atom: -6.8884
Total magnetization in μB per formula unit: 4.332
DOS(E_F) in states/eV/atom: 0.765
Energy above the lowest structure with this stoichiometry in kJ per mole of atoms: 20.39

```
data_Mn2CrBr
_cell_length_a 3.150
_cell_length_b 3.595
_cell_length_c 12.407
_cell_angle_alpha 90.00
_cell_angle_beta 90.00
_cell_angle_gamma 90.00
_space_group_name_H-M_alt 'I m m 2'
_space_group_IT_number 44
_space_group_name_Hall 'I 2 -2'
loop_
_atom_site_label
_atom_site_fract_x
_atom_site_fract_y
_atom_site_fract_z
_atom_site_occupancy
Mn1 0.000 0.000 0.000 1
Mn2 0.000 0.500 0.149 1
Cr1 0.000 0.000 0.463 1
Br1 0.000 0.500 0.777 1
```

***

[13]
The following is a DFT calculation (GGA-PBE) of a geometry-optimized Mn2CrBr structure.

## Properties
Raw formation energy in eV/f.u.: 3.4
E_tot in eV per atom: -6.5588
Total magnetization in μB per formula unit: 6.654
DOS(E_F) in states/eV/atom: 1.235
Energy above the lowest structure with this stoichiometry in kJ per mole of atoms: 52.19

```
data_Mn2CrBr
_cell_length_a 4.390
_cell_length_b 2.961
_cell_length_c 4.510
_cell_angle_alpha 90.00
_cell_angle_beta 107.10
_cell_angle_gamma 90.00
_space_group_name_H-M_alt 'P 1 2/m 1'
_space_group_IT_number 10
_space_group_name_Hall '-P 2y'
loop_
_atom_site_label
_atom_site_fract_x
_atom_site_fract_y
_atom_site_fract_z
_atom_site_occupancy
Mn1 0.000 0.000 0.000 1
Mn2 0.500 0.500 0.000 1
Cr1 0.000 0.500 0.500 1
Br1 0.500 0.000 0.500 1
```

***

[14]
The following is a DFT calculation (GGA-PBE) of a geometry-optimized MnCrBr2 structure.

## Properties
Raw formation energy in eV/f.u.: 2.9
E_tot in eV per atom: -4.8090
Total magnetization in μB per formula unit: 9.557
DOS(E_F) in states/eV/atom: 0.766
Energy above the lowest structure with this stoichiometry in kJ per mole of atoms: 67.24

```
data_MnCrBr2
_cell_length_a 7.197
_cell_length_b 7.197
_cell_length_c 7.197
_cell_angle_alpha 90.00
_cell_angle_beta 90.00
_cell_angle_gamma 90.00
_space_group_name_H-M_alt 'F -4 3 m'
_space_group_IT_number 216
_space_group_name_Hall 'F -4 2 3'
loop_
_atom_site_label
_atom_site_fract_x
_atom_site_fract_y
_atom_site_fract_z
_atom_site_occupancy
Mn1 0.000 0.000 0.000 1
Cr1 0.250 0.250 0.250 1
Br1 0.000 0.000 0.500 1
Br2 0.250 0.250 0.750 1
```

***

[15]
The following is a DFT calculation (GGA-PBE) of a geometry-optimized Mn2CrBr structure.

## Properties
Raw formation energy in eV/f.u.: 1.5
E_tot in eV per atom: -7.0248
Total magnetization in μB per formula unit: 5.012
DOS(E_F) in states/eV/atom: 0.423
Energy above the lowest structure with this stoichiometry in kJ per mole of atoms: 7.22

```
data_Mn2CrBr
_cell_length_a 3.2286
_cell_length_b 3.2286
_cell_length_c 23.2101
_cell_angle_alpha 90.00
_cell_angle_beta 90.00
_cell_angle_gamma 120.00
_space_group_name_H-M_alt 'R -3 m'
_space_group_IT_number 166
_space_group_name_Hall '-R 3 2"'
loop_
_atom_site_label
_atom_site_fract_x
_atom_site_fract_y
_atom_site_fract_z
_atom_site_occupancy
Mn1 0.0000 0.0000 0.2420 1
Cr1 0.0000 0.0000 0.5000 1
Br1 0.0000 0.0000 0.0000 1
```